# 1
DFT (PBE) results for an optimized crystal structure of LaAl2Ga.

Cell: 4.5045 4.4302 4.4302 Å, 90.00 90.00 90.00°
Fractional coordinates of all 4 atoms:
Ga (0.5000, 0.5000, 0.5000)
Al (0.0000, 0.5000, 0.0000)
Al (0.0000, 0.0000, 0.5000)
La (0.5000, 0.0000, 0.0000)

Computed properties:
Its density of states at the Fermi level is 0.39 states/eV/atom. Its formation energy from the elements is -1.46 eV/f.u. For the electronic total energy, the calculation gives -0.3105 Ry per atom. As for the space-group type: P4/mmm (123).

***

# 2
DFT (PBE) results for an optimized crystal structure of CaSc2Mn.

Cell: 4.8972 4.8972 4.8972 Å, 60.00 60.00 60.00°
Fractional coordinates of all 4 atoms:
Mn (0.5000, 0.5000, 0.5000)
Ca (0.0000, 0.0000, 0.0000)
Sc (0.7500, 0.7500, 0.7500)
Sc (0.2500, 0.2500, 0.2500)

Computed properties:
Its density of states at the Fermi level is 1.88 states/eV/atom. Its formation energy from the elements is 2.05 eV/f.u. For the electronic total energy, the calculation gives -0.4003 Ry per atom. For the energy relative to the lowest polymorph listed for this composition, the calculation gives 399 meV/atom. As for the space-group type: Fm-3m (225).

***

# 3
DFT (PBE) results for an optimized crystal structure of NbCd2PCl.

Cell: 5.1031 4.8833 5.1031 Å, 90.00 90.00 90.00°
Last column: magnetic moment on the atom in μB.
Fractional coordinates of all 5 atoms:
Nb (0.5000, 0.5000, 0.5000)  2.85
Cl (0.0000, 0.5000, 0.0000)  0.02
Cd (0.0000, 0.0000, 0.5000)  -0.01
Cd (0.5000, 0.0000, 0.0000)  0.03
P (0.0000, 0.0000, 0.0000)  0.06

Computed properties:
Its density of states at the Fermi level is 0.92 states/eV/atom. For the electronic total energy, the calculation gives -0.2131 Ry per atom. As for the space-group type: P4/mmm (123).

***

# 4
DFT (PBE) results for an optimized crystal structure of La2GaSn.

Cell: 8.7202 8.7202 7.1227 Å, 52.26 52.26 90.00°
Fractional coordinates of all 8 atoms:
La (0.1369, 0.6250, 0.2500)
La (0.3750, 0.3869, 0.7500)
La (0.6131, 0.1250, 0.2500)
La (0.8750, 0.8631, 0.7500)
Sn (0.7500, 0.2500, 0.5000)
Sn (0.0000, 0.0000, 0.0000)
Ga (0.5000, 0.5000, 0.0000)
Ga (0.2500, 0.7500, 0.5000)

Computed properties:
Its density of states at the Fermi level is 1.34 states/eV/atom. Its formation energy from the elements is -1.29 eV/f.u. For the electronic total energy, the calculation gives -0.3340 Ry per atom. As for the space-group type: I-42d (122).

***

# 5
DFT (PBE) results for an optimized crystal structure of La2Tb2Y6Er.

Cell: 6.1305 6.1305 11.7731 Å, 94.19 94.19 119.09°
Fractional coordinates of all 11 atoms:
Y (0.4043, 0.0710, 0.7434)
Y (0.0710, 0.4043, 0.7434)
Y (0.2625, 0.2625, 0.2511)
Y (0.5957, 0.9290, 0.2566)
Y (0.7375, 0.7375, 0.7489)
Y (0.9290, 0.5957, 0.2566)
Er (0.0000, 0.0000, 0.5000)
La (0.8234, 0.1766, 0.0000)
La (0.1766, 0.8234, 0.0000)
Tb (0.3357, 0.6643, 0.5000)
Tb (0.6643, 0.3357, 0.5000)

Computed properties:
Its density of states at the Fermi level is 1.70 states/eV/atom. Its formation energy from the elements is 2.02 eV/f.u. For the electronic total energy, the calculation gives -0.4039 Ry per atom. As for the space-group type: C2/m (12).

***

# 6
DFT (PBE) results for an optimized crystal structure of KSrSnSe3.

Cell: 4.8520 7.6361 12.0811 Å, 90.00 90.00 108.52°
Fractional coordinates of all 12 atoms:
Se (0.3718, 0.7436, 0.9189)
Se (0.6282, 0.2564, 0.4189)
Se (0.9291, 0.8582, 0.2500)
Se (0.6282, 0.2564, 0.0811)
Se (0.3718, 0.7436, 0.5811)
Se (0.0709, 0.1418, 0.7500)
K (0.7580, 0.5159, 0.7500)
K (0.2420, 0.4841, 0.2500)
Sr (0.0000, 0.0000, 0.5000)
Sr (0.0000, 0.0000, 0.0000)
Sn (0.4836, 0.9672, 0.7500)
Sn (0.5164, 0.0328, 0.2500)

Computed properties:
Its density of states at the Fermi level is 0.21 states/eV/atom. For the electronic total energy, the calculation gives -0.2966 Ry per atom. As for the space-group type: Cmcm (63).

***

# 7
DFT (PBE) results for an optimized crystal structure of Tb8YTh4.

Cell: 7.3990 7.3991 9.8983 Å, 90.00 111.95 120.00°
Fractional coordinates of all 13 atoms:
Tb (0.4979, 0.2490, 0.3079)
Tb (0.9411, 0.1901, 0.6921)
Tb (0.5021, 0.7510, 0.6921)
Tb (0.9411, 0.7510, 0.6921)
Tb (0.4411, 0.2205, 0.6616)
Tb (0.0589, 0.2490, 0.3079)
Tb (0.0589, 0.8099, 0.3079)
Tb (0.5589, 0.7795, 0.3384)
Y (0.0000, 0.5000, 0.5000)
Th (0.5000, 0.0000, 0.0000)
Th (0.0000, 0.0000, 0.0000)
Th (0.0000, 0.5000, 0.0000)
Th (0.5000, 0.5000, 0.0000)

Computed properties:
Its density of states at the Fermi level is 1.10 states/eV/atom. Its formation energy from the elements is 2.93 eV/f.u. For the electronic total energy, the calculation gives -0.3972 Ry per atom. As for the space-group type: R-3m (166).

***

# 8
DFT (PBE) results for an optimized crystal structure of Sm2NbGeN5.

Cell: 3.2361 7.4224 10.0380 Å, 90.00 90.00 102.59°
Fractional coordinates of all 18 atoms:
N (0.3524, 0.7048, 0.9987)
N (0.6801, 0.3603, 0.8771)
N (0.2871, 0.5743, 0.6510)
N (0.4987, 0.9973, 0.7863)
N (0.9543, 0.9087, 0.5529)
N (0.0457, 0.0913, 0.0529)
N (0.5013, 0.0027, 0.2863)
N (0.7129, 0.4257, 0.1510)
N (0.3199, 0.6397, 0.3771)
N (0.6476, 0.2952, 0.4987)
Sm (0.1243, 0.2486, 0.2995)
Sm (0.1110, 0.2219, 0.6894)
Sm (0.8757, 0.7514, 0.7995)
Sm (0.8890, 0.7781, 0.1894)
Ge (0.4503, 0.9006, 0.4544)
Ge (0.5497, 0.0994, 0.9544)
Nb (0.2217, 0.4435, 0.0146)
Nb (0.7783, 0.5565, 0.5146)

Computed properties:
For the electronic total energy, the calculation gives -0.6060 Ry per atom. As for the space-group type: Cmc2_1 (36).

***

# 9
DFT (PBE) results for an optimized crystal structure of TmCd6Ag5.

Cell: 9.3876 4.3626 7.1327 Å, 72.19 81.81 62.23°
Fractional coordinates of all 12 atoms:
Cd (0.2702, 0.2296, 0.0000)
Cd (0.7452, 0.4215, 0.6628)
Cd (0.7452, 0.0844, 0.3372)
Cd (0.7298, 0.7704, 0.0000)
Cd (0.2548, 0.5785, 0.3372)
Cd (0.2548, 0.9156, 0.6628)
Tm (0.0000, 0.0000, 0.0000)
Ag (0.5000, 0.5000, 0.0000)
Ag (0.5000, 0.8276, 0.3449)
Ag (0.0000, 0.3320, 0.3359)
Ag (0.0000, 0.6680, 0.6641)
Ag (0.5000, 0.1724, 0.6551)

Computed properties:
Its density of states at the Fermi level is 0.36 states/eV/atom. Its formation energy from the elements is -1.02 eV/f.u. For the electronic total energy, the calculation gives -0.1546 Ry per atom. For the energy relative to the lowest polymorph listed for this composition, the calculation gives 10 meV/atom. As for the space-group type: C2/m (12).

***

# 10
DFT (PBE) results for an optimized crystal structure of TbCrPt6.

Cell: 4.0214 4.0214 8.0921 Å, 90.00 90.00 90.00°
Last column: magnetic moment on the atom in μB.
Fractional coordinates of all 8 atoms:
Pt (0.5000, 0.0000, 0.7341)  -0.08
Pt (0.5000, 0.0000, 0.2659)  -0.08
Pt (0.5000, 0.5000, 0.0000)  -0.05
Pt (0.0000, 0.5000, 0.7341)  -0.08
Pt (0.0000, 0.5000, 0.2659)  -0.08
Pt (0.5000, 0.5000, 0.5000)  -0.16
Cr (0.0000, 0.0000, 0.5000)  2.78
Tb (0.0000, 0.0000, 0.0000)  0.00

Computed properties:
Its density of states at the Fermi level is 1.22 states/eV/atom. Its formation energy from the elements is -4.83 eV/f.u. For the electronic total energy, the calculation gives -0.5083 Ry per atom. As for the space-group type: P4/mmm (123).

***

# 11
DFT (PBE) results for an optimized crystal structure of CePbN.

Cell: 5.8830 3.8214 3.8214 Å, 120.00 90.00 90.00°
Fractional coordinates of all 3 atoms:
N (0.1665, 0.3333, 0.6667)
Pb (0.6668, 0.6667, 0.3333)
Ce (0.1667, 0.0000, 0.0000)

Computed properties:
Its density of states at the Fermi level is 1.39 states/eV/atom. For the electronic total energy, the calculation gives -0.4882 Ry per atom. For the energy relative to the lowest polymorph listed for this composition, the calculation gives 363 meV/atom. As for the space-group type: P-6m2 (187).

***

# 12
DFT (PBE) results for an optimized crystal structure of U2AgTe5.

Cell: 4.1307 8.3978 13.3589 Å, 90.00 90.00 90.00°
Last column: magnetic moment on the atom in μB.
Fractional coordinates of all 16 atoms:
U (0.5000, 0.0062, 0.3233)  2.33
U (0.5000, 0.9938, 0.6767)  2.33
U (0.5000, 0.4938, 0.8233)  2.33
U (0.5000, 0.5062, 0.1767)  2.33
Te (0.0000, 0.7951, 0.2036)  -0.09
Te (0.0000, 0.2049, 0.7964)  -0.09
Te (0.0000, 0.7049, 0.7036)  -0.09
Te (0.0000, 0.0000, 0.5000)  -0.12
Te (0.5000, 0.1480, 0.1046)  -0.05
Te (0.0000, 0.2951, 0.2964)  -0.09
Te (0.0000, 0.5000, 0.0000)  -0.12
Te (0.5000, 0.3520, 0.6046)  -0.05
Te (0.5000, 0.8520, 0.8954)  -0.05
Te (0.5000, 0.6480, 0.3954)  -0.05
Ag (0.0000, 0.5000, 0.5000)  0.00
Ag (0.0000, 0.0000, 0.0000)  0.00

Computed properties:
Its density of states at the Fermi level is 1.93 states/eV/atom. For the electronic total energy, the calculation gives -0.4104 Ry per atom. As for the space-group type: Pbam (55).

***

no.,total magnetic moment (μB per atom)
1,0.00
2,0.00
3,0.81
4,0.00
5,0.00
6,0.00
7,0.00
8,0.00
9,0.00
10,0.30
11,0.00
12,0.57